Entry 1:
Entry from Alexandria via LeMat-Bulk: ScCoOs2 after structural relaxation (GGA-PBEsol).

Properties
Calculated total energy, Ha/atom: -0.347
Excess energy over the best structure of this formula in the dataset, kJ/mol of atoms: 24.0
Calculated formation energy, meV per atom: 250

The structure in CIF format:
```
data_ScCoOs2
_symmetry_space_group_name_H-M 'P 1'
_symmetry_Int_Tables_number 1
_cell_length_a 4.3041
_cell_length_b 4.3041
_cell_length_c 4.3041
_cell_angle_alpha 60.00
_cell_angle_beta 60.00
_cell_angle_gamma 60.00
loop_
_symmetry_equiv_pos_as_xyz
'x,y,z'
loop_
_atom_site_label
_atom_site_fract_x
_atom_site_fract_y
_atom_site_fract_z
Sc1 0.0000 0.0000 0.0000
Co1 0.5000 0.5000 0.5000
Os1 0.2500 0.2500 0.2500
Os2 0.7500 0.7500 0.7500
```

---

Entry 2:
Entry from Alexandria via LeMat-Bulk: Rb2CoO3 after structural relaxation (GGA-PBEsol).

Properties
Calculated total energy, Ha/atom: -0.201
Excess energy over the best structure of this formula in the dataset, kJ/mol of atoms: 0.0
E_form (uncorrected), eV/atom: -1.216

The structure in CIF format:
```
data_Rb2CoO3
_symmetry_space_group_name_H-M 'P 1'
_symmetry_Int_Tables_number 1
_cell_length_a 6.2134
_cell_length_b 6.2134
_cell_length_c 5.2976
_cell_angle_alpha 90.00
_cell_angle_beta 90.00
_cell_angle_gamma 71.40
loop_
_symmetry_equiv_pos_as_xyz
'x,y,z'
loop_
_atom_site_label
_atom_site_fract_x
_atom_site_fract_y
_atom_site_fract_z
Rb1 0.0045 0.3168 0.2500
Rb2 0.3168 0.0045 0.7500
Rb3 0.6832 0.9955 0.2500
Rb4 0.9955 0.6832 0.7500
Co1 0.4288 0.5712 0.2500
Co2 0.5712 0.4288 0.7500
O1 0.1804 0.8196 0.2500
O2 0.3810 0.3810 0.0000
O3 0.3810 0.3810 0.5000
O4 0.6190 0.6190 0.0000
O5 0.6190 0.6190 0.5000
O6 0.8196 0.1804 0.7500
```

---

Entry 3:
Entry from Alexandria via LeMat-Bulk: NiSnP2O after structural relaxation (GGA-PBEsol).

Properties
Calculated total energy, Ha/atom: -0.167
E_form (uncorrected), eV/atom: 0.897

The structure in CIF format:
```
data_NiSnP2O
_symmetry_space_group_name_H-M 'P 1'
_symmetry_Int_Tables_number 1
_cell_length_a 5.0181
_cell_length_b 5.0181
_cell_length_c 3.7891
_cell_angle_alpha 90.00
_cell_angle_beta 90.00
_cell_angle_gamma 90.00
loop_
_symmetry_equiv_pos_as_xyz
'x,y,z'
loop_
_atom_site_label
_atom_site_fract_x
_atom_site_fract_y
_atom_site_fract_z
Ni1 0.0000 0.0000 0.0000
Sn1 0.5000 0.5000 0.5000
P1 0.0000 0.5000 0.5000
P2 0.5000 0.0000 0.5000
O1 0.5000 0.5000 0.0000
```